# ErFe2GeO6, optimized geometry, DFT PBE+U
# E, eV per atom: -6.721
data_ErFe2GeO6
_chemical_formula_sum 'Er1 Fe2 Ge1 O6'
_cell_length_a 5.121
_cell_length_b 5.124
_cell_length_c 5.594
_cell_angle_alpha 90.21
_cell_angle_beta 117.16
_cell_angle_gamma 119.73
_space_group_name_H-M_alt 'P 1'
_space_group_IT_number 1
_space_group_name_Hall 'P 1'
loop_
_atom_site_label
_atom_site_type_symbol
_atom_site_fract_x
_atom_site_fract_y
_atom_site_fract_z
_atom_site_occupancy
Er1 Er 0.000 0.000 0.000 1
Fe1 Fe 0.410 0.206 0.610 1
Fe2 Fe 0.438 0.718 0.150 1
Ge1 Ge 0.036 0.519 0.549 1
O1 O 0.219 0.796 0.358 1
O2 O 0.259 0.919 0.819 1
O3 O 0.482 0.565 0.818 1
O4 O 0.564 0.425 0.360 1
O5 O 0.906 0.339 0.817 1
O6 O 0.940 0.141 0.360 1